[1]
# Ga2TeMoO8 | Alexandria via LeMat-Bulk | PBE+U | relaxed
data_Ga2TeMoO8
_chemical_formula_sum 'Ga2 Te1 Mo1 O8'
_space_group_name_H-M_alt 'P -3 m 1'
_space_group_IT_number 164
_space_group_name_Hall '-P 3 2"'
_cell_length_a 5.6881
_cell_length_b 5.6881
_cell_length_c 5.9850
_cell_angle_alpha 90.00
_cell_angle_beta 90.00
_cell_angle_gamma 120.00
loop_
_atom_site_label
_atom_site_fract_x
_atom_site_fract_y
_atom_site_fract_z
Ga1 0.3333 0.6667 0.2973
Te1 0.0000 0.0000 0.0000
Mo1 0.0000 0.0000 0.5000
O1 0.1483 0.2967 0.2178
O2 0.3333 0.6667 0.5953
# Raw total energy: -5.689 eV per atom
# DOS(E_F): 4.30 states/eV per cell

=====

[2]
# TiGaMoO6 | Alexandria via LeMat-Bulk | PBE+U | relaxed
data_TiGaMoO6
_chemical_formula_sum 'Ti2 Ga2 Mo2 O12'
_space_group_name_H-M_alt 'P -3 1 c'
_space_group_IT_number 163
_space_group_name_Hall '-P 3 2c'
_cell_length_a 4.9990
_cell_length_b 4.9990
_cell_length_c 8.9317
_cell_angle_alpha 90.00
_cell_angle_beta 90.00
_cell_angle_gamma 120.00
loop_
_atom_site_label
_atom_site_fract_x
_atom_site_fract_y
_atom_site_fract_z
Ti1 0.3333 0.6667 0.2500
Ga1 0.3333 0.6667 0.7500
Mo1 0.0000 0.0000 0.0000
O1 0.0060 0.3328 0.1295
# Raw total energy: -7.343 eV per atom
# DOS(E_F): 3.00 states/eV per cell

=====

What did the first record say?
# Ga2TeMoO8 | Alexandria via LeMat-Bulk | PBE+U | relaxed
data_Ga2TeMoO8
_chemical_formula_sum 'Ga2 Te1 Mo1 O8'
_space_group_name_H-M_alt 'P -3 m 1'
_space_group_IT_number 164
_space_group_name_Hall '-P 3 2"'
_cell_length_a 5.6881
_cell_length_b 5.6881
_cell_length_c 5.9850
_cell_angle_alpha 90.00
_cell_angle_beta 90.00
_cell_angle_gamma 120.00
loop_
_atom_site_label
_atom_site_fract_x
_atom_site_fract_y
_atom_site_fract_z
Ga1 0.3333 0.6667 0.2973
Te1 0.0000 0.0000 0.0000
Mo1 0.0000 0.0000 0.5000
O1 0.1483 0.2967 0.2178
O2 0.3333 0.6667 0.5953
# Raw total energy: -5.689 eV per atom
# DOS(E_F): 4.30 states/eV per cell